Below is AcYRh4 after structural relaxation, with properties calculated at the PBE level.

For the total magnetization, the calculation gives 0.00 μB per cell. The calculation puts the formation energy at -3.7 eV/f.u. The total energy comes out at -174.65 eV/cell.

Unit cell a=7.7123 b=7.7123 c=7.7123 alpha=90.00 beta=90.00 gamma=90.00
Space group F-43m (No. 216)
Asymmetric unit:
Ac (0.0000, 0.0000, 0.0000) (multiplicity 4)
Y (0.2500, 0.2500, 0.2500) (multiplicity 4)
Rh (0.1244, 0.1244, 0.6244) (multiplicity 16)

Below is AcYRh after structural relaxation, with properties calculated at the PBE level.

The energy above the lowest structure with this stoichiometry comes out at 67 meV per atom. For the total magnetization, the calculation gives 0.00 μB per cell. The calculation puts the formation energy at -1.5 eV/f.u. The total energy comes out at -19.40 eV/cell.

Unit cell a=4.2035 b=4.2035 c=6.4624 alpha=90.00 beta=90.00 gamma=120.00
Space group P3m1 (No. 156)
Asymmetric unit:
Ac (0.0000, 0.0000, 0.0000) (multiplicity 1)
Y (0.6667, 0.3333, 0.4729) (multiplicity 1)
Rh (0.3333, 0.6667, 0.2586) (multiplicity 1)

Below is Ac4YRh4 after structural relaxation, with properties calculated at the PBE level.

For the total magnetization, the calculation gives 0.00 μB per cell. The calculation puts the formation energy at -5.6 eV/f.u. The total energy comes out at -115.83 eV/cell.

Unit cell a=13.9376 b=4.2885 c=10.2194 alpha=90.00 beta=119.65 gamma=90.00
Space group C2/m (No. 12)
Asymmetric unit:
Ac (0.1083, 0.0000, 0.3901) (multiplicity 4)
Ac (0.1967, 0.5000, 0.8089) (multiplicity 4)
Y (0.0000, 0.5000, 0.0000) (multiplicity 2)
Rh (0.0887, 0.0000, 0.8984) (multiplicity 4)
Rh (0.2093, 0.5000, 0.2968) (multiplicity 4)

Below is Ac3YRh after structural relaxation, with properties calculated at the PBE level.

For the total magnetization, the calculation gives 0.01 μB per cell. The calculation puts the formation energy at -0.8 eV/f.u. The total energy comes out at -26.97 eV/cell.

Unit cell a=5.8284 b=5.8284 c=5.8284 alpha=90.00 beta=90.00 gamma=90.00
Space group Pm-3m (No. 221)
Asymmetric unit:
Ac (0.0000, 0.0000, 0.5000) (multiplicity 3)
Y (0.5000, 0.5000, 0.5000) (multiplicity 1)
Rh (0.0000, 0.0000, 0.0000) (multiplicity 1)

Below is AcY2Rh9 after structural relaxation, with properties calculated at the PBE level.

For the total magnetization, the calculation gives 0.00 μB per cell. The calculation puts the formation energy at -6.5 eV/f.u. The total energy comes out at -269.04 eV/cell.

Unit cell a=5.3350 b=5.3350 c=26.4062 alpha=90.00 beta=90.00 gamma=120.00
Space group R-3m (No. 166, hexagonal axes)
Asymmetric unit:
Ac (0.0000, 0.0000, 0.0000) (multiplicity 3)
Y (0.0000, 0.0000, 0.1402) (multiplicity 6)
Rh (0.0000, 0.0000, 0.3330) (multiplicity 6)
Rh (0.0000, 0.0000, 0.5000) (multiplicity 3)
Rh (0.0006, 0.5003, 0.9159) (multiplicity 18)

Below is AcYZnRh after structural relaxation, with properties calculated at the PBE level.

For the total magnetization, the calculation gives 0.00 μB per cell. The calculation puts the formation energy at -1.7 eV/f.u. The total energy comes out at -83.68 eV/cell.

Unit cell a=7.3282 b=7.3282 c=7.3282 alpha=90.00 beta=90.00 gamma=90.00
Space group F-43m (No. 216)
Asymmetric unit:
Ac (0.0000, 0.0000, 0.0000) (multiplicity 4)
Y (0.0000, 0.0000, 0.5000) (multiplicity 4)
Zn (0.2500, 0.2500, 0.2500) (multiplicity 4)
Rh (0.2500, 0.2500, 0.7500) (multiplicity 4)